! CrSb2Os (PBE, relaxed); values from VASP
! E_form (uncorrected) = 0.4715 eV/atom
! electronic total energy = -27.21 eV per cell
! energy above the lowest structure with this stoichiometry = 210 meV per atom
&SYSTEM
  ibrav = 0, nat = 4, ntyp = 3
/
ATOMIC_SPECIES
Cr 52.00 Cr.upf
Os 190.23 Os.upf
Sb 121.76 Sb.upf
ATOMIC_POSITIONS crystal
Cr 0.2500 0.2500 0.2500
Os 0.7500 0.7500 0.7500
Sb 0.0072 0.0072 0.9885
Sb 0.4928 0.4928 0.5115
CELL_PARAMETERS angstrom
4.4813 0.0028 0.0031
3.2687 3.0655 0.0031
1.0757 0.4259 5.5950